[1]
LaBe2Br | Alexandria | PBE | optimized geometry; energy above the lowest structure with this stoichiometry = 496 meV per atom; DOS(E_F) = 2.28 states/eV/f.u.; total moment = 0.000 μB per formula unit; electronic total energy = -3.1725 eV/atom; raw formation energy = 0.341 eV per atom
1.0
6.0843 -0.0059 0.0138
-3.4002 5.0455 0.0138
1.3365 2.5095 2.9545
Be Br La
2 1 1
Cartesian
1.3420 2.5198 0.0138
0.0000 0.0000 0.0000
3.7104 1.2518 1.4841
-1.0318 3.7775 1.4841

[2]
LaBe2Br | Alexandria | PBE | optimized geometry; energy above the lowest structure with this stoichiometry = 283 meV per atom; DOS(E_F) = 3.17 states/eV/f.u.; total moment = 0.005 μB per formula unit; electronic total energy = -3.3850 eV/atom; raw formation energy = 0.128 eV per atom
1.0
-4.6196 0.2237 -2.7716
-2.8326 -4.3741 1.3842
2.2241 4.0996 2.7053
Be Br La
2 1 1
Cartesian
-6.9571 -3.8747 -1.2952
-3.9207 0.6452 -0.5401
-3.6345 -2.0242 -0.6766
-1.8940 -1.0227 1.7488

[3]
LaBe2Br | Alexandria | PBE | optimized geometry; energy above the lowest structure with this stoichiometry = 412 meV per atom; DOS(E_F) = 3.95 states/eV/f.u.; total moment = 0.000 μB per formula unit; electronic total energy = -3.2558 eV/atom; raw formation energy = 0.257 eV per atom
1.0
4.1960 0.0000 0.0000
0.0000 4.1960 0.0000
0.0000 0.0000 4.7269
La Be Br
1 2 1
Cartesian
0.0000 2.0980 2.3635
0.0000 0.0000 0.0000
2.0980 2.0980 0.0000
2.0980 0.0000 2.3635

[4]
LaBe2Br | Alexandria | PBE | optimized geometry; energy above the lowest structure with this stoichiometry = 168 meV per atom; DOS(E_F) = 1.74 states/eV/f.u.; total moment = 0.000 μB per formula unit; electronic total energy = -3.5001 eV/atom; raw formation energy = 0.013 eV per atom
1.0
-3.1587 -1.9808 1.8245
1.1251 -3.1030 -1.4210
3.5051 -1.0080 4.9738
Br La Be
1 1 2
Cartesian
2.0794 -1.2935 2.1955
2.0121 -4.1092 3.7439
-0.8583 -1.8932 1.1804
0.5535 -0.8514 0.0338